Record 1
CaTcIr PBE-GGA relaxed; total moment = 0.00 μB per formula unit; ΔE to the lowest computed polymorph = 15.021 kcal/mol of atoms
1.0
0.000 3.138 3.138
3.138 0.000 3.138
3.138 3.138 0.000
Ir Tc Ca
1 1 1
Cartesian
3.138 3.138 3.138 Ir
1.569 1.569 1.569 Tc
4.707 4.707 4.707 Ca


Record 2
CaTc2Ir PBE-GGA relaxed; total moment = 0.00 μB per formula unit; ΔE to the lowest computed polymorph = 8.854 kcal/mol of atoms
1.0
-3.187 2.536 -2.584
1.500 -2.207 -4.017
-1.930 -2.025 0.392
Tc Ir Ca
2 1 1
Cartesian
0.000 0.000 0.000 Tc
-0.843 0.164 -3.300 Tc
-0.215 -2.116 -1.813 Ir
-2.558 0.256 -1.096 Ca